No. 1
Here is a relaxed structure of Nd2YMg8 from Alexandria via LeMat-Bulk. Energies are from PBE-GGA.

As for the total magnetization: 0.0 μB/cell. Its mass density is 3.2 g/cm³.

Cell: 5.2614 7.4709 15.1352 Å, 90.00 90.00 90.00°
Space group Immm (No. 71)
Inequivalent atoms, fractional coordinates:
Nd 0.0000 0.0000 0.2012
Y 0.0000 0.0000 0.5000
Mg 0.0000 0.2146 0.0000
Mg 0.0000 0.2931 0.3597
Mg 0.0000 0.5000 0.1568

***

No. 2
Here is a relaxed structure of AcPaRu4 from Alexandria via LeMat-Bulk. Energies are from PBE-GGA.

As for the total magnetization: 0.0 μB/cell. Its mass density is 12.7 g/cm³.

Cell: 7.6725 7.6725 7.6725 Å, 90.00 90.00 90.00°
Space group F-43m (No. 216)
Inequivalent atoms, fractional coordinates:
Ac 0.0000 0.0000 0.0000
Pa 0.2500 0.2500 0.7500
Ru 0.1245 0.1245 0.3755

***

no.,formation enthalpy at 0 K (eV per formula unit),raw total energy (eV/atom)
1,0.3,-2.5888
2,-0.6,-8.5493